# Hf2ZrIn | the Open Quantum Materials Database | GGA-PBE | optimized geometry
data_Hf2ZrIn
_cell_length_a 4.433
_cell_length_b 4.433
_cell_length_c 4.439
_cell_angle_alpha 90.00
_cell_angle_beta 90.00
_cell_angle_gamma 90.00
_symmetry_space_group_name_H-M 'P 4/m m m'
_symmetry_Int_Tables_number 123
_symmetry_space_group_name_Hall '-P 4 2'
loop_
_atom_site_label
_atom_site_type_symbol
_atom_site_fract_x
_atom_site_fract_y
_atom_site_fract_z
Hf1 Hf 0.000 0.500 0.000
Zr1 Zr 0.000 0.000 0.500
In1 In 0.500 0.500 0.500
# Calculated volume   21.8 A^3/atom
# E_tot   -31.89 eV for the cell shown
# ρ   10.7 g/cm³
# Total magnetization   0.006 μB per formula unit